Material: Rb4Pm3PuO8
Method: DFT, PBE
State: relaxed

Properties
raw formation energy	-2.51	eV per atom
crystal system	trigonal

```
data_Rb4Pm3PuO8
_chemical_formula_sum 'Rb12 Pm9 Pu3 O24'
_cell_length_a 7.2620
_cell_length_b 7.2620
_cell_length_c 19.7929
_cell_angle_alpha 90.00
_cell_angle_beta 90.00
_cell_angle_gamma 120.00
_space_group_name_H-M_alt 'R -3 m'
_space_group_IT_number 166
_space_group_name_Hall '-R 3 2"'
loop_
_atom_site_label
_atom_site_type_symbol
_atom_site_fract_x
_atom_site_fract_y
_atom_site_fract_z
Rb1 Rb 0.0000 0.0000 0.0000
Rb2 Rb 0.0000 0.5000 0.0000
Pm1 Pm 0.0000 0.5000 0.5000
Pu1 Pu 0.0000 0.0000 0.5000
O1 O 0.0000 0.0000 0.2266
O2 O 0.0032 0.5016 0.2263
```



Material: Ga2Bi2I
Method: DFT, PBE
State: relaxed

Properties
raw formation energy	0.08	eV per atom
crystal system	tetragonal
excess energy over the best structure of this formula in the dataset	0.141	eV/atom

```
data_Ga2Bi2I
_chemical_formula_sum 'Ga4 Bi4 I2'
_cell_length_a 8.9828
_cell_length_b 8.9828
_cell_length_c 3.6093
_cell_angle_alpha 90.00
_cell_angle_beta 90.00
_cell_angle_gamma 90.00
_space_group_name_H-M_alt 'P 4/m b m'
_space_group_IT_number 127
_space_group_name_Hall '-P 4 2ab'
loop_
_atom_site_label
_atom_site_type_symbol
_atom_site_fract_x
_atom_site_fract_y
_atom_site_fract_z
Ga1 Ga 0.1453 0.3547 0.0000
Bi1 Bi 0.1474 0.6474 0.5000
I1 I 0.0000 0.0000 0.5000
```



Material: Ac2PuSi2
Method: DFT, PBE
State: relaxed

Properties
raw formation energy	-0.40	eV per atom
crystal system	orthorhombic
excess energy over the best structure of this formula in the dataset	0.030	eV/atom

```
data_Ac2PuSi2
_chemical_formula_sum 'Ac4 Pu2 Si4'
_cell_length_a 4.5313
_cell_length_b 6.5131
_cell_length_c 9.7221
_cell_angle_alpha 90.00
_cell_angle_beta 90.00
_cell_angle_gamma 90.00
_space_group_name_H-M_alt 'I m m m'
_space_group_IT_number 71
_space_group_name_Hall '-I 2 2'
loop_
_atom_site_label
_atom_site_type_symbol
_atom_site_fract_x
_atom_site_fract_y
_atom_site_fract_z
Ac1 Ac 0.0000 0.0000 0.2081
Pu1 Pu 0.0000 0.5000 0.0000
Si1 Si 0.0000 0.3030 0.5000
```



Material: Cd2GaAg7Sn2
Method: DFT, PBE
State: relaxed

Properties
crystal system	monoclinic
formation enthalpy at 0 K	0.073	eV/atom

```
data_Cd2GaAg7Sn2
_chemical_formula_sum 'Cd4 Ga2 Ag14 Sn4'
_cell_length_a 5.6125
_cell_length_b 5.6161
_cell_length_c 16.0470
_cell_angle_alpha 90.00
_cell_angle_beta 99.86
_cell_angle_gamma 90.00
_space_group_name_H-M_alt 'C 1 2/m 1'
_space_group_IT_number 12
loop_
_space_group_symop_operation_xyz
'x,y,z'
'-x,-y,-z'
'-x,y,-z'
'x,-y,z'
'x+1/2,y+1/2,z'
'-x+1/2,-y+1/2,-z'
'-x+1/2,y+1/2,-z'
'x+1/2,-y+1/2,z'
loop_
_atom_site_label
_atom_site_type_symbol
_atom_site_fract_x
_atom_site_fract_y
_atom_site_fract_z
Cd1 Cd 0.1378 0.0000 0.2735
Ga1 Ga 0.0000 0.5000 0.0000
Ag1 Ag 0.0000 0.0000 0.0000
Ag2 Ag 0.1813 0.2497 0.8631
Ag3 Ag 0.2301 0.0000 0.4566
Sn1 Sn 0.1831 0.5000 0.3631
```



Material: SmGa4Pd2Pt
Method: DFT, PBE
State: relaxed

Properties
crystal system	trigonal
formation enthalpy at 0 K	-0.661	eV/atom

```
data_SmGa4Pd2Pt
_chemical_formula_sum 'Sm3 Ga12 Pd6 Pt3'
_cell_length_a 4.3154
_cell_length_b 4.3154
_cell_length_c 26.4571
_cell_angle_alpha 90.00
_cell_angle_beta 90.00
_cell_angle_gamma 120.00
_space_group_name_H-M_alt 'R -3 m'
_space_group_IT_number 166
_space_group_name_Hall '-R 3 2"'
loop_
_atom_site_label
_atom_site_type_symbol
_atom_site_fract_x
_atom_site_fract_y
_atom_site_fract_z
Sm1 Sm 0.0000 0.0000 0.0000
Ga1 Ga 0.0000 0.0000 0.1315
Ga2 Ga 0.0000 0.0000 0.3985
Pd1 Pd 0.0000 0.0000 0.2413
Pt1 Pt 0.0000 0.0000 0.5000
```



Material: Ac2ErCd2
Method: DFT, PBE
State: relaxed

Properties
crystal system	orthorhombic
formation enthalpy at 0 K	-0.145	eV/atom

```
data_Ac2ErCd2
_chemical_formula_sum 'Ac4 Er2 Cd4'
_cell_length_a 4.1137
_cell_length_b 7.5739
_cell_length_c 10.9902
_cell_angle_alpha 90.00
_cell_angle_beta 90.00
_cell_angle_gamma 90.00
_space_group_name_H-M_alt 'I m m m'
_space_group_IT_number 71
_space_group_name_Hall '-I 2 2'
loop_
_atom_site_label
_atom_site_type_symbol
_atom_site_fract_x
_atom_site_fract_y
_atom_site_fract_z
Ac1 Ac 0.0000 0.0000 0.2193
Er1 Er 0.0000 0.5000 0.0000
Cd1 Cd 0.0000 0.3010 0.5000
```